Entry 1:
The following is a DFT calculation (PBE-GGA) of an optimized crystal structure of Nd8Rh3SCl4.

ρ = 6.23 Mg/m³
N(E_F) = 9.982 states/eV/cell
V = 27.25 Å³/atom
E = -91.91 eV/cell
spin magnetization = 0.00 Bohr magnetons per cell

a b c (Å): 8.2670 8.7794 8.2668
angles (deg): 118.10 120.00 90.00
Closest atoms and distances in Å follow each position.
Sites, in units of the cell vectors:
Nd 0.2415 0.7092 0.9679  2 Rh 2.81, 1 S 2.90
Nd 0.2415 0.7092 0.4829  2 Rh 2.81, 1 S 2.90
Nd 0.2648 0.2944 0.5295  3 Rh 2.83
Nd 0.7264 0.7092 0.9679  2 Rh 2.81, 1 S 2.90
Nd 0.2736 0.2908 0.0321  2 Rh 2.81, 1 S 2.90
Nd 0.7352 0.7056 0.4705  3 Rh 2.83
Nd 0.7585 0.2908 0.5171  2 Rh 2.81, 1 S 2.90
Nd 0.7585 0.2908 0.0321  2 Rh 2.81, 1 S 2.90
Rh 0.5000 0.5000 0.0000  6 Nd 2.81-2.83
Rh 0.5000 0.5000 0.5000  6 Nd 2.81-2.83
Rh 0.0000 0.5000 0.5000  6 Nd 2.81-2.83
S 0.0000 0.5000 0.0000  6 Nd 2.90
Cl 0.5000 0.0000 0.0000  6 Nd 3.15
Cl 0.5000 0.0000 0.5000  6 Nd 3.23
Cl 0.0000 0.0000 0.0000  6 Nd 3.22-3.23
Cl 0.0000 0.0000 0.5000  6 Nd 3.23

=====

Entry 2:
The following is a DFT calculation (PBE-GGA) of an optimized crystal structure of Cs2MgI6Cl.

ρ = 3.70 Mg/m³
N(E_F) = 14.510 states/eV/cell
V = 48.79 Å³/atom
E = -22.57 eV/cell
spin magnetization = 1.00 Bohr magnetons per cell

a b c (Å): 9.1461 9.1461 8.7089
angles (deg): 58.32 58.32 90.00
Closest atoms and distances in Å follow each position.
Sites, in units of the cell vectors:
Cs 0.7500 0.2500 0.5000  12 I 4.38-4.58
Cs 0.2500 0.7500 0.5000  12 I 4.38-4.58
I 0.2251 0.2251 0.5498  1 Cl 2.63
I 0.7749 0.7749 0.4502  1 Cl 2.63
I 0.2834 0.2834 0.0000  1 Mg 2.80
I 0.7166 0.7166 0.0000  1 Mg 2.80
I 0.7166 0.2834 0.0000  1 Mg 2.80
I 0.2834 0.7166 0.0000  1 Mg 2.80
Mg 0.5000 0.5000 0.0000  4 I 2.80
Cl 0.0000 0.0000 0.0000  2 I 2.63

=====

Entry 3:
The following is a DFT calculation (PBE-GGA) of an optimized crystal structure of Mn2CoBr.

ρ = 6.46 Mg/m³
N(E_F) = 3.362 states/eV/cell
V = 15.99 Å³/atom
offset from the most stable computed form = 1.318 eV/f.u.
spin magnetization = 8.02 Bohr magnetons per cell

a b c (Å): 7.9520 7.9520 7.9520
angles (deg): 22.38 22.38 22.38
Closest atoms and distances in Å follow each position.
Sites, in units of the cell vectors:
Br 0.5008 0.5008 0.5008  3 Mn 2.66, 3 Co 2.81
Co 0.7405 0.7405 0.7405  3 Mn 2.37
Mn 0.0065 0.0065 0.0065  3 Co 2.37
Mn 0.2522 0.2522 0.2522  3 Br 2.66, 3 Mn 2.71

=====

Entry 4:
The following is a DFT calculation (PBE-GGA) of an optimized crystal structure of ZnBAs2.

ρ = 6.02 Mg/m³
N(E_F) = 1.461 states/eV/cell
V = 15.58 Å³/atom
formation energy from the elements = 0.989 eV/atom
offset from the most stable computed form = 3.634 eV/f.u.
spin magnetization = 0.00 Bohr magnetons per cell

a b c (Å): 4.4499 4.4499 4.4499
angles (deg): 60.00 60.00 60.00
Closest atoms and distances in Å follow each position.
Sites, in units of the cell vectors:
As 0.2500 0.2500 0.2500  4 Zn 2.72, 4 B 2.72
As 0.7500 0.7500 0.7500  4 Zn 2.72, 4 B 2.72
B 0.0000 0.0000 0.0000  8 As 2.72
Zn 0.5000 0.5000 0.5000  8 As 2.72

=====

Entry 5:
The following is a DFT calculation (PBE-GGA) of an optimized crystal structure of TaCd4Co.

ρ = 9.82 Mg/m³
N(E_F) = 2.810 states/eV/cell
V = 19.44 Å³/atom
formation energy from the elements = 0.707 eV/atom
spin magnetization = 2.20 Bohr magnetons per cell

a b c (Å): 5.4839 5.4839 5.4839
angles (deg): 60.00 60.00 60.00
Closest atoms and distances in Å follow each position.
Sites, in units of the cell vectors:
Ta 0.0000 0.0000 0.0000  12 Cd 3.21, 4 Co 3.36
Cd 0.8753 0.3749 0.3749  6 Cd 2.74
Cd 0.3749 0.3749 0.8753  6 Cd 2.74
Cd 0.3749 0.8753 0.3749  6 Cd 2.74
Cd 0.3749 0.3749 0.3749  6 Cd 2.74
Co 0.7500 0.7500 0.7500  12 Cd 3.22, 4 Ta 3.36

=====

Entry 6:
The following is a DFT calculation (PBE-GGA) of an optimized crystal structure of ScTiNb2C.

ρ = 5.81 Mg/m³
N(E_F) = 5.165 states/eV/cell
V = 16.61 Å³/atom
formation energy from the elements = -0.185 eV/atom
spin magnetization = 0.00 Bohr magnetons per cell

a b c (Å): 4.4423 4.4423 4.2094
angles (deg): 90.00 90.00 90.00
Closest atoms and distances in Å follow each position.
Sites, in units of the cell vectors:
Sc 0.5000 0.5000 0.5000  8 Nb 3.06, 4 Ti 3.14
Nb 0.0000 0.5000 0.0000  2 C 2.22
Nb 0.5000 0.0000 0.0000  2 C 2.22
C 0.0000 0.0000 0.0000  2 Ti 2.10, 4 Nb 2.22
Ti 0.0000 0.0000 0.5000  2 C 2.10